Record 1
DFT (PBE) results for crystalline HgTeW2 at its relaxed geometry.

Geometry as extended XYZ:
```
4
Lattice="-1.9454 6.0815 0.1813 -5.5761 2.2717 -2.1330 3.4192 -3.8224 3.8080" Properties=species:S:1:pos:R:3 pbc="T T T"
Hg -3.6831 4.0904 -0.9557
W -1.6276 3.7554 1.3811
W -7.3888 8.2058 -1.9173
Te -2.6851 1.0089 0.4206
```

Output
formation energy from raw total energies: 0.777 eV per atom
energy above the lowest structure with this stoichiometry: 31.42 kJ/mol of atoms
symmetry: Imm2 (44)



Record 2
DFT (PBE) results for crystalline InAgSn3 at its relaxed geometry.

Geometry as extended XYZ:
```
10
Lattice="-3.6532 -1.0863 5.6000 -3.3865 -4.3052 -3.9852 7.2664 -2.4652 -1.7061" Properties=species:S:1:pos:R:3 pbc="T T T"
Sn -1.1102 -2.4859 -0.5342
Sn -4.6218 -5.1753 0.2713
Sn 4.8485 -2.6814 -0.3626
Sn 2.9493 -4.5791 -2.4318
Sn -2.7225 -3.2776 2.3405
Sn 1.3369 -5.3709 0.4429
Ag 1.8780 -2.5865 -0.4490
Ag -1.6513 -5.2702 0.3577
In 2.8010 -2.9493 2.3635
In -2.5742 -4.9075 -2.4549
```

Output
formation enthalpy at 0 K: 0.062 eV/atom
energy above the lowest structure with this stoichiometry: 0.41 kJ/mol of atoms
symmetry: C2/m (12)



Record 3
DFT (PBE) results for crystalline Tc2BRu at its relaxed geometry.

Geometry as extended XYZ:
```
4
Lattice="-0.1098 -1.0411 -2.6686 0.8007 -2.7033 -0.5179 -6.4208 -3.4341 0.0643" Properties=species:S:1:pos:R:3 pbc="T T T"
Tc -1.0315 -1.6628 -0.8485
Tc -4.6984 -5.5157 -2.2738
B 0.0000 0.0000 0.0000
Ru -2.8649 -3.5892 -1.5611
```

Output
formation enthalpy at 0 K: 0.047 eV/atom
energy above the lowest structure with this stoichiometry: 25.93 kJ/mol of atoms
symmetry: R-3m (166)



Record 4
DFT (PBE) results for crystalline TiNi at its relaxed geometry.

Geometry as extended XYZ:
```
16
Lattice="7.2042 -0.0257 0.0000 1.9483 6.9358 0.0000 -4.5762 -3.4551 4.3614" Properties=species:S:1:pos:R:3 pbc="T T T"
Ti 0.9741 3.4679 2.1807
Ti 6.6755 5.0400 0.0000
Ti 4.5762 3.4551 0.0000
Ti 0.0000 0.0000 0.0000
Ti 1.3140 -1.7404 2.1807
Ti -1.3140 1.7404 2.1807
Ti 2.4770 1.8701 0.0000
Ti 3.6021 -0.0128 2.1807
Ni 1.1725 0.8852 1.9800
Ni 1.9688 4.4703 0.0000
Ni 3.4037 2.5698 2.3813
Ni 4.8386 0.6693 0.0000
Ni -1.1725 -0.8852 1.9800
Ni 7.1836 2.4398 0.0000
Ni 4.3138 6.2408 0.0000
Ni 5.7487 4.3403 2.3813
```

Output
formation enthalpy at 0 K: -0.361 eV/atom
symmetry: I4/mmm (139)



Record 5
DFT (PBE) results for crystalline Pu3VPd12 at its relaxed geometry.

Geometry as extended XYZ:
```
16
Lattice="-0.7054 -2.6520 -3.0369 0.5899 -3.1178 2.5856 -15.9154 0.0318 3.6691" Properties=species:S:1:pos:R:3 pbc="T T T"
Pd -9.7070 -1.5389 3.5986
Pd -10.3546 -1.3060 0.7874
Pd -2.1292 -1.3225 -1.1089
Pd -12.1360 -2.8608 2.5588
Pd -13.8441 -1.5307 4.5524
Pd -5.6186 -1.5471 2.6561
Pd -3.8950 -2.8772 0.6590
Pd -6.2663 -1.3142 -0.1552
Pd -14.4917 -1.2978 1.7411
Pd -1.4815 -1.5553 1.7023
Pd -8.0155 -2.8690 1.6089
Pd -0.0578 -2.8849 -0.2257
V 0.0000 0.0000 0.0000
Pu -12.0412 0.0240 2.7760
Pu -7.9577 0.0159 1.8346
Pu -3.8742 0.0077 0.8932
```

Output
formation enthalpy at 0 K: -0.461 eV/atom
symmetry: P4/mmm (123)



Record 6
DFT (PBE) results for crystalline Tb4SmY7 at its relaxed geometry.

Geometry as extended XYZ:
```
12
Lattice="-5.9888 -0.2153 -3.2777 -2.6160 -5.0656 3.2085 -10.5974 3.7559 3.4956" Properties=species:S:1:pos:R:3 pbc="T T T"
Y -2.9944 -0.1077 -1.6388
Y -11.2726 -2.2943 0.3490
Y -7.9295 0.7692 3.0775
Y -8.9133 0.3403 -0.4038
Y -16.2010 0.7884 2.3483
Y -3.0012 -2.3134 1.0781
Y -10.2888 -1.8653 3.8303
Sm 0.0000 0.0000 0.0000
Tb -7.8540 -2.2879 1.3156
Tb -13.6574 -1.7986 2.8407
Tb -11.3482 0.7628 2.1109
Tb -5.5448 0.2735 0.5858
```

Output
formation enthalpy at 0 K: 0.085 eV/atom
energy above the lowest structure with this stoichiometry: 0.00 kJ/mol of atoms
symmetry: P-1 (2)



Record 7
DFT (PBE) results for crystalline Os2Ru at its relaxed geometry.

Geometry as extended XYZ:
```
3
Lattice="4.3922 0.0000 0.0000 0.0000 4.3922 0.0000 0.0000 0.0000 2.6738" Properties=species:S:1:pos:R:3 pbc="T T T"
Os 2.1961 0.0000 1.3369
Os 0.0000 2.1961 1.3369
Ru 0.0000 0.0000 0.0000
```

Output
formation enthalpy at 0 K: 1.229 eV/atom
energy above the lowest structure with this stoichiometry: 120.30 kJ/mol of atoms
symmetry: P4/mmm (123)



Record 8
DFT (PBE) results for crystalline BaLi5Ag3 at its relaxed geometry.

Geometry as extended XYZ:
```
18
Lattice="4.4964 0.0000 0.0000 -2.2482 6.7970 0.0000 0.0000 0.0000 13.3407" Properties=species:S:1:pos:R:3 pbc="T T T"
Li 0.0000 5.7663 4.7396
Li 0.0000 2.7148 7.3744
Li 2.2482 4.0822 5.9663
Li 0.0000 5.7663 1.9307
Li 2.2482 1.0307 11.4100
Li 2.2482 4.0822 0.7041
Li 2.2482 1.0307 8.6010
Li 0.0000 0.0000 6.6703
Li 0.0000 2.7148 12.6366
Li 0.0000 0.0000 0.0000
Ag 2.2482 5.0870 3.3352
Ag 2.2482 1.3854 6.0012
Ag 0.0000 1.7100 10.0055
Ag 2.2482 1.3854 0.6691
Ag 0.0000 5.4116 12.6715
Ag 0.0000 5.4116 7.3395
Ba 2.2482 4.7032 10.0055
Ba 0.0000 2.0937 3.3352
```

Output
formation enthalpy at 0 K: -0.153 eV/atom
symmetry: Cmcm (63)



Record 9
DFT (PBE) results for crystalline Tl2AgHgCl5 at its relaxed geometry.

Geometry as extended XYZ:
```
18
Lattice="-1.7733 -3.4562 1.6416 9.2424 -1.4549 1.5037 -0.9731 6.1804 11.9608" Properties=species:S:1:pos:R:3 pbc="T T T"
Tl 1.9300 1.0461 4.2872
Tl 4.4559 0.9229 12.1732
Tl 1.1290 3.5523 8.6985
Tl 5.4926 -3.0807 4.8641
Hg 3.3784 -0.3308 8.3699
Hg 3.5649 -1.2408 1.2385
Cl 1.1186 -0.1502 0.8921
Cl 5.9253 -2.2268 1.7123
Cl 4.7223 0.4461 6.0403
Cl 4.0486 2.2798 9.1731
Cl 1.0472 0.4704 7.5385
Cl -1.0314 -0.0906 4.1120
Cl 5.7716 -1.0837 9.3698
Cl 1.5082 2.5094 12.3294
Cl 2.6267 -2.1493 3.7292
Cl 7.4839 1.6363 11.5292
Ag 7.1698 -0.1614 7.4051
Ag -1.0481 3.8081 12.3021
```

Output
formation energy from raw total energies: -0.746 eV per atom
symmetry: Cmc2_1 (36)



Record 10
DFT (PBE) results for crystalline TbGa2SiRh2 at its relaxed geometry.

Geometry as extended XYZ:
```
6
Lattice="4.5001 0.0000 0.0000 0.0000 4.5001 0.0000 0.0000 0.0000 5.5083" Properties=species:S:1:pos:R:3 pbc="T T T"
Si 0.0000 0.0000 0.0000
Ga 2.2500 2.2500 1.4630
Ga 2.2500 2.2500 4.0453
Rh 2.2500 0.0000 0.0000
Rh 0.0000 2.2500 0.0000
Tb 0.0000 0.0000 2.7541
```

Output
formation energy from raw total energies: -0.534 eV per atom
symmetry: P4/mmm (123)



Record 11
DFT (PBE) results for crystalline Pm3Nd2Os2 at its relaxed geometry.

Geometry as extended XYZ:
```
7
Lattice="4.0228 0.0000 0.0000 -2.0114 6.1646 -0.2275 0.0000 -3.1498 8.1152" Properties=species:S:1:pos:R:3 pbc="T T T"
Pm 2.0114 0.0000 0.0000
Pm 2.0114 0.1841 3.3977
Pm 0.0000 2.8308 4.4900
Nd 2.0114 3.5200 1.3949
Nd 0.0000 -0.5051 6.4928
Os 2.0114 1.5036 6.1674
Os 0.0000 1.5113 1.7203
```

Output
formation enthalpy at 0 K: -0.104 eV/atom
symmetry: C2/m (12)



Record 12
DFT (PBE) results for crystalline Pm3Zn4Ga at its relaxed geometry.

Geometry as extended XYZ:
```
8
Lattice="-0.4017 4.2420 -2.0216 1.3221 -1.9334 -4.3197 -8.6416 -2.7764 1.3926" Properties=species:S:1:pos:R:3 pbc="T T T"
Pm 0.6610 -0.9667 -2.1598
Pm -3.4219 -0.6784 -0.7437
Pm -4.2993 0.2107 -4.2050
Zn -6.4575 -0.7511 -0.2930
Zn -5.8202 -1.6831 -2.3753
Zn -1.2637 0.2834 -4.6557
Zn -1.9010 1.2154 -2.5734
Ga -0.2008 2.1210 -1.0108
```

Output
formation enthalpy at 0 K: -0.169 eV/atom
symmetry: Immm (71)



Values of total DFT energy (no corrections), in order: -0.4822 -0.2541 -0.6706 -0.5291 -0.5595 -0.4132 -0.6872 -0.1750 -0.1946 -0.4167 -0.4932 -0.2180, all in Ry per atom.